Record 1
Entry from Alexandria: crystalline TlAuSe2 at its relaxed geometry (PBEsol).

a = 6.6930 Å, b = 6.6930 Å, c = 6.6930 Å
α = 35.63°, β = 35.63°, γ = 35.63°
Last column: nearest neighbours and their distance in Å.
Element x y z (fractional)
Tl 0.0000 0.0000 0.0000  3 Se 2.81, 3 Au 2.93
Au 0.2410 0.2410 0.2410  3 Se 2.58
Se 0.5191 0.5191 0.5191  3 Au 2.58
Se 0.7479 0.7479 0.7479  3 Tl 2.81, 3 Se 3.07

Output
Density in g cm⁻³: 10.209
Uncorrected formation energy in meV/atom: 25
Volume in Å³/cell: 91
Density of states at the Fermi level in states/eV/f.u.: 2.32

=====

Record 2
Entry from Alexandria: crystalline MnRhO2 at its relaxed geometry (PBEsol).

a = 6.0392 Å, b = 6.0392 Å, c = 6.0392 Å
α = 29.67°, β = 29.67°, γ = 29.67°
Last column: nearest neighbours and their distance in Å.
Element x y z (fractional)
Mn 0.0000 0.0000 0.0000  2 O 1.90
Rh 0.5000 0.5000 0.5000  6 O 2.04
O 0.1098 0.1098 0.1098  1 Mn 1.90, 3 Rh 2.04
O 0.8902 0.8902 0.8902  1 Mn 1.90, 3 Rh 2.04

Output
Density in g cm⁻³: 6.599
Uncorrected formation energy in meV/atom: -626
Volume in Å³/cell: 48
Density of states at the Fermi level in states/eV/f.u.: 1.09

=====

Record 3
Entry from Alexandria: crystalline CrCu2As at its relaxed geometry (PBEsol).

a = 5.2018 Å, b = 5.2018 Å, c = 2.6538 Å
α = 104.40°, β = 104.40°, γ = 124.40°
Last column: nearest neighbours and their distance in Å.
Element x y z (fractional)
Cr 0.0000 0.0000 0.0000  4 As 2.43-2.46, 4 Cu 2.61, 2 Cr 2.65
Cu 0.0000 0.5000 0.5000  6 Cu 2.43-2.65, 2 Cr 2.61, 2 As 2.61
Cu 0.5000 0.0000 0.5000  6 Cu 2.43-2.65, 2 Cr 2.61, 2 As 2.61
As 0.5000 0.5000 0.0000  4 Cr 2.43-2.46, 4 Cu 2.61, 2 As 2.65

Output
Density in g cm⁻³: 8.414
Energy relative to the elements in eV per atom: 0.24
Volume in Å³/cell: 50
Density of states at the Fermi level in states/eV/f.u.: 2.31

=====

Record 4
Entry from Alexandria: crystalline MgZrPt2 at its relaxed geometry (PBEsol).

a = 2.9367 Å, b = 3.4069 Å, c = 6.7357 Å
α = 90.00°, β = 90.00°, γ = 90.00°
Last column: nearest neighbours and their distance in Å.
Element x y z (fractional)
Mg 0.0000 0.0000 0.0000  8 Pt 2.78, 2 Mg 2.94
Zr 0.0000 0.0000 0.5000  8 Pt 2.84, 2 Zr 2.94
Pt 0.5000 0.5000 0.2418  4 Mg 2.78, 4 Zr 2.84, 2 Pt 2.94
Pt 0.5000 0.5000 0.7582  4 Mg 2.78, 4 Zr 2.84, 2 Pt 2.94

Output
Density in g cm⁻³: 12.461
Energy relative to the elements in eV per atom: -0.91
Volume in Å³/cell: 67
Density of states at the Fermi level in states/eV/f.u.: 2.07

=====

Record 5
Entry from Alexandria: crystalline LiSiAs2 at its relaxed geometry (PBEsol).

a = 6.3641 Å, b = 6.3641 Å, c = 6.3641 Å
α = 123.23°, β = 123.23°, γ = 84.49°
Last column: nearest neighbours and their distance in Å.
Element x y z (fractional)
Li 0.0000 0.0000 0.0000  4 As 2.53
Li 0.7500 0.2500 0.5000  4 As 2.53
Si 0.2500 0.7500 0.5000  4 As 2.35
Si 0.5000 0.5000 0.0000  4 As 2.35
As 0.1490 0.1250 0.5240  2 Si 2.35, 2 Li 2.53
As 0.3750 0.8510 0.9760  2 Si 2.35, 2 Li 2.53
As 0.6010 0.6250 0.4760  2 Si 2.35, 2 Li 2.53
As 0.8750 0.3990 0.0240  2 Si 2.35, 2 Li 2.53

Output
Density in g cm⁻³: 3.559
Uncorrected formation energy in meV/atom: -91
Volume in Å³/cell: 172
Density of states at the Fermi level in states/eV/f.u.: 3.13

=====

Record 6
Entry from Alexandria: crystalline CdCoSeS2 at its relaxed geometry (PBEsol).

a = 4.2378 Å, b = 4.2378 Å, c = 5.1993 Å
α = 90.00°, β = 90.00°, γ = 90.00°
Last column: nearest neighbours and their distance in Å.
Element x y z (fractional)
Cd 0.0000 0.0000 0.0000  4 Se 3.00, 8 S 3.35
Co 0.5000 0.5000 0.5000  4 S 2.12
Se 0.5000 0.5000 0.0000  2 Co 2.60
S 0.0000 0.5000 0.5000  2 Co 2.12
S 0.5000 0.0000 0.5000  2 Co 2.12

Output
Density in g cm⁻³: 5.592
Uncorrected formation energy in meV/atom: 129
Volume in Å³/cell: 93
Density of states at the Fermi level in states/eV/f.u.: 4.65

=====

Record 7
Entry from Alexandria: crystalline NaLi2RhN at its relaxed geometry (PBEsol).

a = 4.2190 Å, b = 4.2190 Å, c = 3.8047 Å
α = 90.00°, β = 90.00°, γ = 90.00°
Last column: nearest neighbours and their distance in Å.
Element x y z (fractional)
Na 0.0000 0.0000 0.0000  8 Li 2.84, 4 Rh 2.98
Li 0.0000 0.5000 0.5000  2 N 2.11
Li 0.5000 0.0000 0.5000  2 N 2.11
Rh 0.5000 0.5000 0.0000  2 N 1.90
N 0.5000 0.5000 0.5000  2 Rh 1.90, 4 Li 2.11

Output
Density in g cm⁻³: 3.771
Uncorrected formation energy in meV/atom: -244
Volume in Å³/cell: 68
Density of states at the Fermi level in states/eV/f.u.: 1.46

=====

Record 8
Entry from Alexandria: crystalline Sc5Mn at its relaxed geometry (PBEsol).

a = 5.4861 Å, b = 5.4861 Å, c = 4.8480 Å
α = 90.00°, β = 90.00°, γ = 120.00°
Last column: nearest neighbours and their distance in Å.
Element x y z (fractional)
Sc 0.0000 0.6885 0.0000  10 Sc 2.96-3.28, 2 Mn 2.97
Sc 0.3115 0.3115 0.0000  10 Sc 2.96-3.28, 2 Mn 2.97
Sc 0.3333 0.6667 0.5000  9 Sc 3.07-3.17, 3 Mn 3.17
Sc 0.6667 0.3333 0.5000  9 Sc 3.07-3.17, 3 Mn 3.17
Sc 0.6885 0.0000 0.0000  10 Sc 2.96-3.28, 2 Mn 2.97
Mn 0.0000 0.0000 0.5000  12 Sc 2.97-3.17

Output
Density in g cm⁻³: 3.676
Energy relative to the elements in eV per atom: 0.11
Distance to the lowest polymorph of the same formula in kJ/mol of atoms: 5.1
Volume in Å³/cell: 126
Density of states at the Fermi level in states/eV/f.u.: 6.60

=====

Record 9
Entry from Alexandria: crystalline B5H2Pb2O11 at its relaxed geometry (PBEsol).

a = 6.5937 Å, b = 11.4643 Å, c = 12.9718 Å
α = 90.00°, β = 120.17°, γ = 90.00°
Last column: nearest neighbours and their distance in Å.
Element x y z (fractional)
B 0.0063 0.1874 0.2164  4 O 1.45-1.50
B 0.0063 0.3126 0.7164  4 O 1.45-1.50
B 0.2227 0.0040 0.2282  3 O 1.35-1.38
B 0.2227 0.4960 0.7282  3 O 1.35-1.38
B 0.2856 0.7128 0.9672  3 O 1.35-1.38
B 0.2856 0.7872 0.4672  3 O 1.35-1.38
B 0.3466 0.7158 0.7935  4 O 1.45-1.52
B 0.3466 0.7842 0.2935  4 O 1.45-1.52
B 0.4405 0.1936 0.3070  4 O 1.45-1.52
B 0.4405 0.3064 0.8070  4 O 1.45-1.52
B 0.5595 0.6936 0.1930  4 O 1.45-1.52
B 0.5595 0.8064 0.6930  4 O 1.45-1.52
B 0.6534 0.2158 0.7065  4 O 1.45-1.52
B 0.6534 0.2842 0.2065  4 O 1.45-1.52
B 0.7144 0.2128 0.5328  3 O 1.35-1.38
B 0.7144 0.2872 0.0328  3 O 1.35-1.38
B 0.7773 0.5040 0.2718  3 O 1.35-1.38
B 0.7773 0.9960 0.7718  3 O 1.35-1.38
B 0.9937 0.6874 0.2836  4 O 1.45-1.50
B 0.9937 0.8126 0.7836  4 O 1.45-1.50
H 0.2649 0.5229 0.4379  1 O 1.01
H 0.2649 0.9771 0.9379  1 O 1.01
H 0.3136 0.0626 0.4989  1 O 0.98
H 0.3136 0.4374 0.9989  1 O 0.98
H 0.6864 0.5626 0.0011  1 O 0.98
H 0.6864 0.9374 0.5011  1 O 0.98
H 0.7351 0.0229 0.0621  1 O 1.01
H 0.7351 0.4771 0.5621  1 O 1.01
Pb 0.1353 0.2282 0.9711  3 O 2.40-2.60, 1 H 2.61
Pb 0.1353 0.2718 0.4711  3 O 2.40-2.60, 1 H 2.61
Pb 0.1991 0.0293 0.6812  3 O 2.39-2.51
Pb 0.1991 0.4707 0.1812  3 O 2.39-2.51
Pb 0.8009 0.5293 0.8188  3 O 2.39-2.51
Pb 0.8009 0.9707 0.3188  3 O 2.39-2.51
Pb 0.8647 0.7282 0.5289  3 O 2.40-2.60, 1 H 2.61
Pb 0.8647 0.7718 0.0289  3 O 2.40-2.60, 1 H 2.61
O 0.0131 0.0649 0.1778  2 B 1.38-1.50
O 0.0131 0.4351 0.6778  2 B 1.38-1.50
O 0.0525 0.7349 0.8861  2 B 1.38-1.48
O 0.0525 0.7651 0.3861  2 B 1.38-1.48
O 0.1555 0.0635 0.4891  1 H 0.98
O 0.1555 0.4365 0.9891  1 H 0.98
O 0.1760 0.6882 0.2507  2 B 1.46-1.47
O 0.1760 0.8118 0.7507  2 B 1.46-1.47
O 0.2092 0.6139 0.7223  2 B 1.35-1.48
O 0.2092 0.8861 0.2223  2 B 1.35-1.48
O 0.2333 0.2218 0.3157  2 B 1.45-1.46
O 0.2333 0.2782 0.8157  2 B 1.45-1.46
O 0.3404 0.7112 0.0823  2 B 1.35-1.45
O 0.3404 0.7888 0.5823  2 B 1.35-1.45
O 0.4032 0.0122 0.0109  1 H 1.01
O 0.4032 0.4878 0.5109  1 H 1.01
O 0.4322 0.0633 0.2822  2 B 1.37-1.52
O 0.4322 0.4367 0.7822  2 B 1.37-1.52
O 0.4371 0.6944 0.9251  2 B 1.37-1.52
O 0.4371 0.8056 0.4251  2 B 1.37-1.52
O 0.4438 0.2384 0.7125  2 B 1.45-1.46
O 0.4438 0.2616 0.2125  2 B 1.45-1.46
O 0.5562 0.7384 0.7875  2 B 1.45-1.46
O 0.5562 0.7616 0.2875  2 B 1.45-1.46
O 0.5629 0.1944 0.5749  2 B 1.37-1.52
O 0.5629 0.3056 0.0749  2 B 1.37-1.52
O 0.5678 0.5633 0.2178  2 B 1.37-1.52
O 0.5678 0.9367 0.7178  2 B 1.37-1.52
O 0.5968 0.5122 0.4891  1 H 1.01
O 0.5968 0.9878 0.9891  1 H 1.01
O 0.6596 0.2112 0.4177  2 B 1.35-1.45
O 0.6596 0.2888 0.9177  2 B 1.35-1.45
O 0.7667 0.7218 0.1843  2 B 1.45-1.46
O 0.7667 0.7782 0.6843  2 B 1.45-1.46
O 0.7908 0.1139 0.7777  2 B 1.35-1.48
O 0.7908 0.3861 0.2777  2 B 1.35-1.48
O 0.8240 0.1882 0.2493  2 B 1.46-1.47
O 0.8240 0.3118 0.7493  2 B 1.46-1.47
O 0.8445 0.5635 0.0109  1 H 0.98
O 0.8445 0.9365 0.5109  1 H 0.98
O 0.9475 0.2349 0.6139  2 B 1.38-1.48
O 0.9475 0.2651 0.1139  2 B 1.38-1.48
O 0.9869 0.5649 0.3222  2 B 1.38-1.50
O 0.9869 0.9351 0.8222  2 B 1.38-1.50

Output
Density in g cm⁻³: 5.065
DFT total energy in eV/atom: -7.32
Volume in Å³/cell: 848
Density of states at the Fermi level in states/eV/f.u.: 0.00

=====

Record 10
Entry from Alexandria: crystalline SiRh2Br at its relaxed geometry (PBEsol).

a = 3.4088 Å, b = 3.4088 Å, c = 5.3212 Å
α = 90.00°, β = 90.00°, γ = 90.00°
Last column: nearest neighbours and their distance in Å.
Element x y z (fractional)
Si 0.0000 0.0000 0.0000  5 Rh 2.37-2.50
Rh 0.0000 0.0000 0.5554  1 Si 2.37, 4 Br 2.54
Rh 0.5000 0.5000 0.8771  4 Si 2.50, 1 Br 2.51
Br 0.5000 0.5000 0.4063  5 Rh 2.51-2.54

Output
Density in g cm⁻³: 8.428
Distance to the lowest polymorph of the same formula in kJ/mol of atoms: 24.2
Uncorrected formation energy in meV/atom: 3
Volume in Å³/cell: 62
Density of states at the Fermi level in states/eV/f.u.: 1.90